This record from Alexandria describes a geometry-optimized MoOsRu2 structure. The functional is PBE-GGA.

a b c (Å): 3.8469 3.8802 3.8802
angles (deg): 90.00 90.00 90.00
Closest atoms and distances in Å follow each position.
Positions (direct):
Ru (0.0000, 0.0000, 0.0000)  4 Os 2.73, 4 Mo 2.73, 4 Ru 2.74
Mo (0.5000, 0.5000, 0.0000)  8 Ru 2.73, 4 Os 2.74
Os (0.5000, 0.0000, 0.5000)  8 Ru 2.73, 4 Mo 2.74
Ru (0.0000, 0.5000, 0.5000)  4 Mo 2.73, 4 Os 2.73, 4 Ru 2.74

Summary:
Energy above the lowest structure with this stoichiometry (eV per atom): 0.0435
Space group: P4/mmm (123)
Final energy (eV/cell): -40.547
M_tot (μB/cell): 0.0

***

This record from Alexandria describes a geometry-optimized Mo2OsRu3 structure. The functional is PBE-GGA.

a b c (Å): 5.1234 5.1234 7.9976
angles (deg): 100.44 120.31 85.95
Closest atoms and distances in Å follow each position.
Positions (direct):
Mo (0.2486, 0.8737, 0.6248)  2 Mo 2.74, 9 Ru 2.83-2.86, 3 Os 2.84-2.86
Mo (0.7489, 0.6238, 0.8752)  2 Mo 2.74, 9 Ru 2.83-2.86, 3 Os 2.84-2.86
Ru (0.6685, 0.6664, 0.5010)  3 Ru 2.50-2.75, 2 Os 2.50-2.73
Os (0.1669, 0.4169, 0.7500)  5 Ru 2.50-2.73
Ru (0.8333, 0.0833, 0.7500)  1 Os 2.50, 4 Ru 2.50-2.75
Ru (0.6655, 0.1675, 0.9990)  3 Ru 2.50-2.75, 2 Os 2.50-2.73
Os (0.8331, 0.5831, 0.2500)  5 Ru 2.50-2.73
Mo (0.2511, 0.3762, 0.1248)  2 Mo 2.74, 9 Ru 2.83-2.86, 3 Os 2.84-2.86
Ru (0.3315, 0.3336, 0.4990)  3 Ru 2.50-2.75, 2 Os 2.50-2.73
Mo (0.7514, 0.1263, 0.3752)  2 Mo 2.74, 9 Ru 2.83-2.86, 3 Os 2.84-2.86
Ru (0.1667, 0.9167, 0.2500)  1 Os 2.50, 4 Ru 2.50-2.75
Ru (0.3345, 0.8325, 0.0010)  3 Ru 2.50-2.75, 2 Os 2.50-2.73

Summary:
Space group: C2/c (15)
Final energy (eV/cell): -119.700
M_tot (μB/cell): 0.0

***

This record from Alexandria describes a geometry-optimized MoOsRu2 structure. The functional is PBE-GGA.

a b c (Å): 9.1155 9.1155 9.1155
angles (deg): 17.25 17.25 17.25
Closest atoms and distances in Å follow each position.
Positions (direct):
Ru (0.0015, 0.0015, 0.0015)  3 Os 2.71, 6 Ru 2.73, 3 Mo 2.78
Mo (0.2500, 0.2500, 0.2500)  6 Mo 2.73, 6 Ru 2.78
Os (0.7500, 0.7500, 0.7500)  6 Ru 2.71, 6 Os 2.73
Ru (0.4985, 0.4985, 0.4985)  3 Os 2.71, 6 Ru 2.73, 3 Mo 2.78

Summary:
Energy above the lowest structure with this stoichiometry (eV per atom): 0.1569
Space group: R-3m (166)
Final energy (eV/cell): -40.093
M_tot (μB/cell): 0.0

***

This record from Alexandria describes a geometry-optimized MoOsRu2 structure. The functional is PBE-GGA.

a b c (Å): 4.7440 4.7440 4.7392
angles (deg): 80.48 80.48 33.54
Closest atoms and distances in Å follow each position.
Positions (direct):
Ru (0.9985, 0.9985, 0.0070)  3 Os 2.68-2.72, 4 Mo 2.73-2.74, 5 Ru 2.74-2.75
Mo (0.5001, 0.5001, 0.5047)  7 Ru 2.72-2.75, 2 Mo 2.74, 3 Os 2.77-2.78
Ru (0.7487, 0.7487, 0.7516)  4 Os 2.68-2.79, 3 Mo 2.72-2.75, 5 Ru 2.74-2.75
Os (0.2527, 0.2527, 0.2367)  7 Ru 2.68-2.79, 2 Os 2.74, 3 Mo 2.77-2.78

Summary:
Energy above the lowest structure with this stoichiometry (eV per atom): 0.0949
Space group: Cm (8)
Final energy (eV/cell): -40.341
M_tot (μB/cell): 0.0

***

This record from Alexandria describes a geometry-optimized MoOs2Ru2 structure. The functional is PBE-GGA.

a b c (Å): 7.3991 7.3991 2.7587
angles (deg): 90.00 90.00 90.00
Closest atoms and distances in Å follow each position.
Positions (direct):
Os (0.3759, 0.8759, 0.0000)  6 Ru 2.54-2.61, 3 Os 2.60-2.76
Os (0.6241, 0.1241, 0.0000)  6 Ru 2.54-2.61, 3 Os 2.60-2.76
Os (0.1241, 0.3759, 0.0000)  6 Ru 2.54-2.61, 3 Os 2.60-2.76
Ru (0.8285, 0.3285, 0.5000)  6 Os 2.54-2.61, 2 Ru 2.76
Ru (0.3285, 0.1715, 0.5000)  6 Os 2.54-2.61, 2 Ru 2.76
Ru (0.6715, 0.8285, 0.5000)  6 Os 2.54-2.61, 2 Ru 2.76
Mo (0.5000, 0.5000, 0.0000)  2 Mo 2.76, 4 Os 2.93, 8 Ru 3.07
Os (0.8759, 0.6241, 0.0000)  6 Ru 2.54-2.61, 3 Os 2.60-2.76
Mo (0.0000, 0.0000, 0.0000)  2 Mo 2.76, 4 Os 2.93, 8 Ru 3.07
Ru (0.1715, 0.6715, 0.5000)  6 Os 2.54-2.61, 2 Ru 2.76

Summary:
Energy above the lowest structure with this stoichiometry (eV per atom): 0.0000
Space group: P4/mbm (127)
Final energy (eV/cell): -100.999
M_tot (μB/cell): 0.0

***

This record from Alexandria describes a geometry-optimized Mo4OsRu structure. The functional is PBE-GGA.

a b c (Å): 5.1117 5.1117 5.1117
angles (deg): 60.00 60.00 60.00
Closest atoms and distances in Å follow each position.
Positions (direct):
Mo (0.1252, 0.6249, 0.6249)  6 Mo 2.55-2.56
Mo (0.6249, 0.1252, 0.6249)  6 Mo 2.55-2.56
Mo (0.6249, 0.6249, 0.6249)  6 Mo 2.55-2.56
Os (0.2500, 0.2500, 0.2500)  12 Mo 3.00, 4 Ru 3.13
Ru (0.0000, 0.0000, 0.0000)  12 Mo 3.00, 4 Os 3.13
Mo (0.6249, 0.6249, 0.1252)  6 Mo 2.55-2.56

Summary:
Space group: F-43m (216)
Final energy (eV/cell): -61.752
M_tot (μB/cell): 0.0

***

This record from Alexandria describes a geometry-optimized MoOsRu3 structure. The functional is PBE-GGA.

a b c (Å): 4.5645 4.5645 4.5645
angles (deg): 90.00 90.00 90.00
Closest atoms and distances in Å follow each position.
Positions (direct):
Mo (0.0000, 0.0000, 0.0000)  6 Ru 2.28
Ru (0.0000, 0.5000, 0.0000)  2 Mo 2.28
Os (0.5000, 0.5000, 0.5000)  12 Ru 3.23
Ru (0.0000, 0.0000, 0.5000)  2 Mo 2.28
Ru (0.5000, 0.0000, 0.0000)  2 Mo 2.28

Summary:
Energy above the lowest structure with this stoichiometry (eV per atom): 2.1503
Space group: Pm-3m (221)
Final energy (eV/cell): -39.279
M_tot (μB/cell): 3.4

***

This record from Alexandria describes a geometry-optimized MoOs3Ru structure. The functional is PBE-GGA.

a b c (Å): 5.1448 8.6250 5.2315
angles (deg): 87.51 120.78 58.60
Closest atoms and distances in Å follow each position.
Positions (direct):
Os (0.4939, 0.5571, 0.4502)  4 Os 2.65-2.94, 2 Ru 2.71-2.80, 2 Mo 2.81-2.94
Os (0.2039, 0.3345, 0.1169)  3 Os 2.47-2.76, 2 Mo 2.50-2.65, 2 Ru 2.59-2.72
Mo (0.2876, 0.9530, 0.3817)  1 Ru 2.50, 4 Os 2.50-2.65, 1 Mo 2.69
Os (0.2009, 0.3506, 0.5867)  4 Os 2.47-2.76, 2 Mo 2.54-2.59, 2 Ru 2.59-2.73
Os (0.7846, 0.9510, 0.8973)  4 Os 2.47-2.76, 2 Mo 2.54-2.59, 2 Ru 2.59-2.73
Mo (0.6978, 0.3486, 0.1022)  1 Ru 2.50, 4 Os 2.50-2.65, 1 Mo 2.69
Ru (0.9927, 0.6508, 0.7420)  2 Mo 2.50, 4 Os 2.59
Os (0.7816, 0.9670, 0.3670)  3 Os 2.47-2.76, 2 Mo 2.50-2.65, 2 Ru 2.59-2.72
Os (0.4916, 0.7444, 0.0338)  4 Os 2.65-2.94, 2 Ru 2.71-2.80, 2 Mo 2.81-2.94
Ru (0.9927, 0.1508, 0.7420)  8 Os 2.71-2.99, 2 Mo 2.83

Summary:
Energy above the lowest structure with this stoichiometry (eV per atom): 0.0000
Space group: P-1 (2)
Final energy (eV/cell): -102.658
M_tot (μB/cell): 0.0

***

This record from Alexandria describes a geometry-optimized Mo2OsRu structure. The functional is PBE-GGA.

a b c (Å): 3.8968 2.7712 6.2027
angles (deg): 63.44 90.00 90.00
Closest atoms and distances in Å follow each position.
Positions (direct):
Mo (0.0000, 0.5004, 0.4997)  4 Os 2.76, 4 Ru 2.76-2.77, 4 Mo 2.77-2.78
Ru (0.5000, 0.7500, 0.7500)  8 Mo 2.76-2.77, 2 Ru 2.77, 2 Os 2.77
Os (0.5000, 0.2500, 0.2500)  8 Mo 2.76, 2 Os 2.77, 2 Ru 2.77
Mo (0.0000, 0.9996, 0.0003)  4 Os 2.76, 4 Ru 2.76-2.77, 4 Mo 2.77-2.78

Summary:
Energy above the lowest structure with this stoichiometry (eV per atom): 0.0042
Space group: Pmmm (47)
Final energy (eV/cell): -41.944
M_tot (μB/cell): 0.0

***

This record from Alexandria describes a geometry-optimized Mo2Os2Ru5 structure. The functional is PBE-GGA.

a b c (Å): 3.8481 4.7364 8.2294
angles (deg): 73.54 76.48 66.03
Closest atoms and distances in Å follow each position.
Positions (direct):
Ru (0.9967, 0.3386, 0.6680)  5 Mo 2.69-2.78, 2 Os 2.73, 5 Ru 2.74-2.75
Ru (0.6627, 0.8921, 0.7826)  5 Ru 2.70-2.74, 4 Os 2.71-2.73, 3 Mo 2.73-2.84
Os (0.6687, 0.5535, 0.1092)  1 Mo 2.70, 2 Os 2.70, 9 Ru 2.71-2.74
Ru (0.0000, 0.0000, 0.0000)  6 Ru 2.70-2.75, 6 Os 2.72-2.74
Ru (0.0033, 0.6614, 0.3320)  5 Mo 2.69-2.78, 2 Os 2.73, 5 Ru 2.74-2.75
Mo (0.6673, 0.2287, 0.4368)  8 Ru 2.69-2.84, 1 Os 2.70, 3 Mo 2.75-2.79
Mo (0.3327, 0.7713, 0.5632)  8 Ru 2.69-2.84, 1 Os 2.70, 3 Mo 2.75-2.79
Os (0.3313, 0.4465, 0.8908)  1 Mo 2.70, 2 Os 2.70, 9 Ru 2.71-2.74
Ru (0.3373, 0.1079, 0.2174)  5 Ru 2.70-2.74, 4 Os 2.71-2.73, 3 Mo 2.73-2.84

Summary:
Space group: C2/m (12)
Final energy (eV/cell): -89.629
M_tot (μB/cell): 0.0